(1)
## CaPt2Au (GGA-PBE)

Data for an optimized crystal structure of CaPt2Au.

Lattice parameters (Å, degrees): 4.719 4.719 4.719 60.00 60.00 60.00
Atoms (fractional coordinates):
Pt1 0.250 0.250 0.250
Pt2 0.750 0.750 0.750
Au1 0.500 0.500 0.500
Ca1 0.000 0.000 0.000

Output
* energy: -18.92 eV per cell
* formation energy from the elements: -391 meV/atom
* density of states at the Fermi level: 1.5 states/eV/f.u.
* space-group type: Fm-3m, No. 225
* total magnetization: 0.0 μB per formula unit

=====

(2)
## Ca2Pt2Au (GGA-PBE)

Data for an optimized crystal structure of Ca2Pt2Au.

Lattice parameters (Å, degrees): 5.529 5.529 5.583 60.32 60.32 90.00
Atoms (fractional coordinates):
Ca1 0.750 0.250 0.500
Ca2 0.250 0.750 0.500
Pt1 0.661 0.661 0.679
Pt2 0.339 0.339 0.321
Au1 0.000 0.000 0.000

Output
* energy: -22.64 eV per cell
* formation energy from the elements: -656 meV/atom
* density of states at the Fermi level: 1.6 states/eV/f.u.
* space-group type: I4/mmm, No. 139
* total magnetization: 0.0 μB per formula unit

=====

Question: The highest density of states at the Fermi level belongs to which entry?
Answer: Ca2Pt2Au

=====

Please write out number 2 again, unchanged.
## Ca2Pt2Au (GGA-PBE)

Data for an optimized crystal structure of Ca2Pt2Au.

Lattice parameters (Å, degrees): 5.529 5.529 5.583 60.32 60.32 90.00
Atoms (fractional coordinates):
Ca1 0.750 0.250 0.500
Ca2 0.250 0.750 0.500
Pt1 0.661 0.661 0.679
Pt2 0.339 0.339 0.321
Au1 0.000 0.000 0.000

Output
* energy: -22.64 eV per cell
* formation energy from the elements: -656 meV/atom
* density of states at the Fermi level: 1.6 states/eV/f.u.
* space-group type: I4/mmm, No. 139
* total magnetization: 0.0 μB per formula unit